Record 1
Density functional theory data (PBE) for crystalline ZrP2PdCl at its relaxed geometry.

Lattice parameters (Å, degrees): 4.6757 4.6757 4.6422 90.00 90.00 90.00
Element x y z (fractional)
1 P 0.5000 0.0000 0.0000
2 P 0.0000 0.5000 0.0000
3 Cl 0.0000 0.0000 0.5000
4 Pd 0.0000 0.0000 0.0000
5 Zr 0.5000 0.5000 0.5000

Calculated values
Total moment ... 0.00 μB/atom
Symmetry ... No. 123
Calculated density ... 4.8 Mg/m³
DOS(E_F) ... 2.854 states/eV/f.u.
Uncorrected formation energy ... 0.260 eV/atom

=====

Record 2
Density functional theory data (PBE) for crystalline ZrP2PdCl at its relaxed geometry.

Lattice parameters (Å, degrees): 5.0556 5.0556 4.9129 90.00 90.00 90.00
Element x y z (fractional)
1 Cl 0.0000 0.0000 0.5000
2 P 0.0000 0.5000 0.0000
3 Zr 0.0000 0.0000 0.0000
4 P 0.5000 0.0000 0.0000
5 Pd 0.5000 0.5000 0.5000

Calculated values
Total moment ... 0.00 μB/atom
Symmetry ... No. 123
Calculated density ... 3.9 Mg/m³
DOS(E_F) ... 5.638 states/eV/f.u.
Uncorrected formation energy ... 0.241 eV/atom

=====

Record 3
Density functional theory data (PBE) for crystalline Pm7PCl12 at its relaxed geometry.

Lattice parameters (Å, degrees): 9.0165 9.0165 9.0165 107.57 107.57 107.57
Element x y z (fractional)
1 Pm 0.3231 0.1105 0.0280
2 Cl 0.6865 0.2206 0.0776
3 Cl 0.3135 0.7794 0.9224
4 P 0.0000 0.0000 0.0000
5 Cl 0.5339 0.8359 0.6176
6 Cl 0.4661 0.1641 0.3824
7 Cl 0.6176 0.5339 0.8359
8 Pm 0.9720 0.6769 0.8895
9 Pm 0.1105 0.0280 0.3231
10 Cl 0.9224 0.3135 0.7794
11 Cl 0.7794 0.9224 0.3135
12 Pm 0.5000 0.5000 0.5000
13 Cl 0.2206 0.0776 0.6865
14 Cl 0.0776 0.6865 0.2206
15 Cl 0.3824 0.4661 0.1641
16 Cl 0.8359 0.6176 0.5339
17 Cl 0.1641 0.3824 0.4661
18 Pm 0.0280 0.3231 0.1105
19 Pm 0.6769 0.8895 0.9720
20 Pm 0.8895 0.9720 0.6769

Calculated values
Total moment ... 0.00 μB/atom
Symmetry ... No. 148
Calculated density ... 4.1 Mg/m³
DOS(E_F) ... 1.766 states/eV/f.u.
Uncorrected formation energy ... -2.039 eV/atom